Entry from the Alexandria database: an optimized crystal structure of BaCuSnH2 (PBE).

Unit cell a=4.367 b=12.557 c=6.534 alpha=90.00 beta=90.00 gamma=90.00
Space group Cmcm (No. 63)
Unique sites:
Ba: 0.000 0.200 0.250
Cu: 0.000 0.500 0.000
Sn: 0.000 0.069 0.750
H: 0.000 0.373 0.528

Properties
final energy	-3.57	eV per atom
density of states at the Fermi level	4.81	states/eV/cell

Entry from the Alexandria database: an optimized crystal structure of Ba2TlCu2H6 (PBE).

Unit cell a=5.6007 b=5.6007 c=20.5383 alpha=90.00 beta=90.00 gamma=120.00
Space group R-3m (No. 166, hexagonal axes)
Unique sites:
Ba: 0.0000 0.0000 0.2249
Tl: 0.0000 0.0000 0.0000
Cu: 0.0000 0.0000 0.4373
H: 0.0007 0.5004 0.7709

Properties
final energy	-3.32	eV per atom
density of states at the Fermi level	6.50	states/eV/cell

Entry from the Alexandria database: an optimized crystal structure of Ba2TlCuH (PBE).

Unit cell a=5.931 b=5.931 c=3.990 alpha=90.00 beta=90.00 gamma=90.00
Space group P4/mmm (No. 123)
Unique sites:
Ba: 0.000 0.500 0.000
Tl: 0.000 0.000 0.500
Cu: 0.500 0.500 0.500
H: 0.500 0.500 0.000

Properties
final energy	-2.92	eV per atom
density of states at the Fermi level	1.29	states/eV/cell

Entry from the Alexandria database: an optimized crystal structure of BaHfCu2 (PBE).

Unit cell a=7.665 b=7.665 c=7.297 alpha=90.00 beta=90.00 gamma=90.00
Space group I-42d (No. 122)
Unique sites:
Ba: 0.000 0.000 0.000
Hf: 0.000 0.000 0.500
Cu: 0.187 0.750 0.625

Properties
final energy	-4.46	eV per atom
energy relative to the lowest polymorph listed for this composition	74	meV per atom
density of states at the Fermi level	16.13	states/eV/cell